Entry 1:
## La6PmSn (PBE-GGA)

Data for a geometry-optimized La6PmSn structure.

raw total energy: -40.0 eV/cell
SG: P4/mmm
total magnetic moment: 0.000 Bohr magnetons per cell

a b c (Å): 5.096 5.096 10.481
angles (deg): 90.00 90.00 90.00
Element x y z (fractional)
La 0.500 0.000 0.760
La 0.000 0.500 0.240
La 0.500 0.500 0.000
La 0.000 0.500 0.760
La 0.500 0.000 0.240
La 0.500 0.500 0.500
Sn 0.000 0.000 0.000
Pm 0.000 0.000 0.500

---

Entry 2:
## La2PmSn (PBE-GGA)

Data for a geometry-optimized La2PmSn structure.

raw total energy: -40.0 eV/cell
SG: Cmcm
relative energy among the computed polymorphs: 0.1274 eV per atom
total magnetic moment: 0.000 Bohr magnetons per cell

a b c (Å): 5.823 6.939 7.059
angles (deg): 90.00 90.00 114.81
Element x y z (fractional)
La 0.620 0.240 0.026
La 0.620 0.240 0.474
La 0.380 0.760 0.974
La 0.380 0.760 0.526
Pm 0.921 0.842 0.250
Pm 0.079 0.158 0.750
Sn 0.831 0.662 0.750
Sn 0.169 0.338 0.250

---

Entry 3:
## La4PmSn (PBE-GGA)

Data for a geometry-optimized La4PmSn structure.

raw total energy: -59.1 eV/cell
SG: Pmma
total magnetic moment: 0.000 Bohr magnetons per cell

a b c (Å): 5.948 7.115 9.546
angles (deg): 90.00 90.00 90.00
Element x y z (fractional)
La 0.500 0.477 0.329
La 0.500 0.250 0.969
La 0.500 0.750 0.031
La 0.500 0.023 0.329
La 0.500 0.523 0.671
La 0.000 0.500 0.000
La 0.500 0.977 0.671
La 0.000 0.000 0.000
Sn 0.000 0.250 0.292
Sn 0.000 0.750 0.708
Pm 0.000 0.750 0.381
Pm 0.000 0.250 0.619

---

Entry 4:
## La6PmSn4 (PBE-GGA)

Data for a geometry-optimized La6PmSn4 structure.

raw total energy: -55.0 eV/cell
SG: I-42m
total magnetic moment: 0.001 Bohr magnetons per cell

a b c (Å): 8.446 8.446 8.446
angles (deg): 86.80 121.87 121.87
Element x y z (fractional)
La 0.500 0.500 0.000
La 0.000 0.502 0.817
La 0.500 0.000 0.500
La 0.315 0.498 0.498
La 0.000 0.817 0.502
La 0.685 0.183 0.183
Sn 0.535 0.370 0.370
Sn 0.000 0.630 0.165
Sn 0.000 0.165 0.630
Sn 0.465 0.835 0.835
Pm 0.000 0.000 0.000

---

Entry 5:
## LaPm5Sn5 (PBE-GGA)

Data for a geometry-optimized LaPm5Sn5 structure.

raw total energy: -54.0 eV/cell
SG: C2/m
total magnetic moment: 0.514 Bohr magnetons per cell

a b c (Å): 6.359 7.890 8.776
angles (deg): 105.84 90.00 113.77
Element x y z (fractional)
Pm 0.335 0.670 0.666
Pm 0.665 0.330 0.334
Pm 0.329 0.659 0.162
Pm 0.671 0.341 0.838
Pm 0.000 0.000 0.500
Sn 0.834 0.668 0.177
Sn 0.167 0.333 0.340
Sn 0.500 0.000 0.000
Sn 0.166 0.332 0.823
Sn 0.833 0.667 0.660
La 0.000 0.000 0.000

---

Entry 6:
## La3Pm2Sn4 (PBE-GGA)

Data for a geometry-optimized La3Pm2Sn4 structure.

raw total energy: -46.6 eV/cell
SG: C2/m
relative energy among the computed polymorphs: 0.0000 eV per atom
total magnetic moment: 0.000 Bohr magnetons per cell

a b c (Å): 5.140 6.943 8.802
angles (deg): 103.73 106.98 90.00
Element x y z (fractional)
La 0.880 0.427 0.759
La 0.000 0.000 0.000
La 0.120 0.573 0.241
Sn 0.753 0.722 0.506
Sn 0.247 0.278 0.494
Sn 0.503 0.292 0.006
Sn 0.497 0.708 0.994
Pm 0.337 0.917 0.675
Pm 0.663 0.083 0.325

---

Entry 7:
## La8PmSn2 (PBE-GGA)

Data for a geometry-optimized La8PmSn2 structure.

raw total energy: -54.9 eV/cell
SG: C2/m
total magnetic moment: 0.000 Bohr magnetons per cell

a b c (Å): 6.346 9.598 9.598
angles (deg): 41.76 81.89 81.89
Element x y z (fractional)
La 0.993 0.584 0.584
La 0.007 0.416 0.416
La 0.538 0.656 0.141
La 0.857 0.211 0.211
La 0.538 0.141 0.656
La 0.462 0.344 0.859
La 0.143 0.789 0.789
La 0.462 0.859 0.344
Sn 0.670 0.737 0.737
Sn 0.330 0.263 0.263
Pm 0.000 0.000 0.000

---

Entry 8:
## La3Pm2Sn4 (PBE-GGA)

Data for a geometry-optimized La3Pm2Sn4 structure.

raw total energy: -46.0 eV/cell
SG: C2/m
relative energy among the computed polymorphs: 0.0603 eV per atom
total magnetic moment: 0.000 Bohr magnetons per cell

a b c (Å): 4.640 7.306 10.330
angles (deg): 115.35 90.00 108.52
Element x y z (fractional)
Pm 0.323 0.647 0.660
Pm 0.677 0.353 0.340
Sn 0.931 0.862 0.578
Sn 0.293 0.587 0.943
Sn 0.069 0.138 0.422
Sn 0.707 0.413 0.057
La 0.000 0.000 0.000
La 0.376 0.751 0.301
La 0.624 0.249 0.699